Computed, not measured: crystalline Ca2YAl at its relaxed geometry at the PBE-GGA level of DFT.

Lattice parameters (Å, degrees): 6.0993 6.0993 3.5812 90.00 90.00 112.00
Closest atoms and distances in Å follow each position.
Positions (direct):
Ca (0.0000, 0.5000, 0.0000)  4 Ca 3.41-3.58, 4 Al 3.54, 4 Y 3.54
Ca (0.5000, 0.0000, 0.0000)  4 Ca 3.41-3.58, 4 Al 3.54, 4 Y 3.54
Y (0.0000, 0.0000, 0.5000)  2 Al 3.41, 8 Ca 3.54, 2 Y 3.58
Al (0.5000, 0.5000, 0.5000)  2 Y 3.41, 8 Ca 3.54, 2 Al 3.58

* SG: No. 65
* magnetic moment: 0.00 Bohr magnetons per cell
* E_form: 0.07 eV per atom

Computed, not measured: crystalline Pr2Cd3Hg at its relaxed geometry at the PBE-GGA level of DFT.

Lattice parameters (Å, degrees): 10.2153 9.5051 6.1702 78.16 65.60 36.24
Closest atoms and distances in Å follow each position.
Positions (direct):
Pr (0.2464, 0.7536, 0.7536)  2 Hg 3.41, 10 Cd 3.42, 2 Pr 3.42-3.52
Pr (0.2500, 0.2500, 0.2500)  4 Hg 3.42, 8 Cd 3.43, 2 Pr 3.47
Pr (0.7500, 0.7500, 0.7500)  4 Hg 3.42, 8 Cd 3.43, 2 Pr 3.47
Pr (0.7536, 0.2464, 0.2464)  2 Hg 3.41, 10 Cd 3.42, 2 Pr 3.42-3.52
Cd (0.1687, 0.6653, 0.3347)  2 Cd 2.93-2.94, 1 Hg 2.97
Cd (0.3342, 0.3342, 0.6658)  2 Cd 2.93, 1 Hg 2.96
Cd (0.3347, 0.8313, 0.1687)  2 Cd 2.93-2.94, 1 Hg 2.97
Cd (0.6653, 0.1687, 0.8313)  2 Cd 2.93-2.94, 1 Hg 2.97
Cd (0.6658, 0.6658, 0.3342)  2 Cd 2.93, 1 Hg 2.96
Cd (0.8313, 0.3347, 0.6653)  2 Cd 2.93-2.94, 1 Hg 2.97
Hg (0.1669, 0.1669, 0.8331)  3 Cd 2.96-2.97
Hg (0.8331, 0.8331, 0.1669)  3 Cd 2.96-2.97

* SG: No. 69
* energy relative to the lowest polymorph listed for this composition: 0 meV/atom
* magnetic moment: 0.00 Bohr magnetons per cell
* E_form: -0.38 eV per atom

Computed, not measured: crystalline La2AgSb4Pd3 at its relaxed geometry at the PBE-GGA level of DFT.

Lattice parameters (Å, degrees): 4.6604 4.6604 10.9335 90.00 90.00 90.00
Closest atoms and distances in Å follow each position.
Positions (direct):
La (0.0000, 0.5000, 0.2456)  8 Sb 3.51-3.63, 6 Pd 3.56-3.58, 2 Ag 3.56
La (0.5000, 0.0000, 0.7544)  8 Sb 3.51-3.63, 6 Pd 3.56-3.58, 2 Ag 3.56
Ag (0.5000, 0.5000, 0.0000)  4 Sb 2.76
Sb (0.0000, 0.0000, 0.5000)  4 Pd 2.70
Sb (0.0000, 0.5000, 0.8644)  3 Pd 2.61-2.76, 2 Ag 2.76
Sb (0.5000, 0.0000, 0.1356)  3 Pd 2.61-2.76, 2 Ag 2.76
Sb (0.5000, 0.5000, 0.5000)  4 Pd 2.70
Pd (0.0000, 0.0000, 0.0000)  4 Sb 2.76
Pd (0.0000, 0.5000, 0.6254)  5 Sb 2.61-2.70
Pd (0.5000, 0.0000, 0.3746)  5 Sb 2.61-2.70

* SG: No. 115
* formation energy without anion corrections: -0.7891 eV per atom
* magnetic moment: 0.00 Bohr magnetons per cell

Computed, not measured: crystalline Ta2AgPOs at its relaxed geometry at the PBE-GGA level of DFT.

Lattice parameters (Å, degrees): 4.9765 4.9765 4.3437 90.00 90.00 90.00
Closest atoms and distances in Å follow each position.
Positions (direct):
Ta (0.0000, 0.5000, 0.0000)  2 Os 2.49
Ta (0.5000, 0.0000, 0.0000)  2 Os 2.49
Ag (0.0000, 0.0000, 0.5000)  8 Ta 3.30, 4 P 3.52
P (0.5000, 0.5000, 0.5000)  2 Os 2.17
Os (0.5000, 0.5000, 0.0000)  2 P 2.17

* SG: No. 123
* magnetic moment: 0.00 Bohr magnetons per cell
* E_form: 1.08 eV per atom

Computed, not measured: crystalline AlInSe at its relaxed geometry at the PBE-GGA level of DFT.

Lattice parameters (Å, degrees): 3.7755 3.7755 5.8689 90.00 90.00 120.00
Closest atoms and distances in Å follow each position.
Positions (direct):
Al (0.0000, 0.0000, 0.0000)  3 Se 2.56
In (0.6667, 0.3333, 0.3508)  3 Al 3.00, 3 Se 3.29
Se (0.3333, 0.6667, 0.7718)  3 Al 2.56

* SG: No. 156
* energy relative to the lowest polymorph listed for this composition: 0 meV/atom
* formation energy without anion corrections: -0.2634 eV per atom
* magnetic moment: 0.00 Bohr magnetons per cell

Computed, not measured: crystalline IrSe4Br at its relaxed geometry at the PBE-GGA level of DFT.

Lattice parameters (Å, degrees): 5.6280 5.6280 5.6280 60.00 60.00 60.00
Closest atoms and distances in Å follow each position.
Positions (direct):
Ir (0.0000, 0.0000, 0.0000)  12 Se 3.30, 4 Br 3.45
Se (0.1208, 0.6264, 0.6264)  6 Se 2.78-2.85
Se (0.6264, 0.1208, 0.6264)  6 Se 2.78-2.85
Se (0.6264, 0.6264, 0.1208)  6 Se 2.78-2.85
Se (0.6264, 0.6264, 0.6264)  6 Se 2.78-2.85
Br (0.2500, 0.2500, 0.2500)  12 Se 3.30, 4 Ir 3.45

* SG: No. 216
* formation energy without anion corrections: 1.1461 eV per atom
* magnetic moment: 1.33 Bohr magnetons per cell